First-principles (GGA+U) data for a relaxed VRe2O crystal, as listed in the Alexandria database.

## Properties
Energy: -71.20 eV per cell
Size of the total moment: 1.89 μB/f.u.

```
VRe2O
1.0
-2.751 6.532 -0.326
-3.550 -1.789 -5.878
-4.836 1.723 -1.886
Re O V
4 2 2
Direct
0.532 0.125 0.250 Re
0.218 0.625 0.250 Re
0.375 0.468 0.750 Re
0.875 0.782 0.750 Re
0.500 0.500 0.000 O
0.250 0.750 0.500 O
0.000 0.000 0.000 V
0.750 0.250 0.500 V
```